Material: Zr2TlPt
Method: DFT, SCAN
State: single point on PBEsol structure

Summary:
The space group is P4/mmm, No. 123. Its formation energy from the elements is -2.8 eV per formula unit. Its energy is -206.70 eV/f.u.

abc: 3.0823 3.0823 8.2921
angles: 90.00 90.00 90.00
Fractional coordinates of all 4 atoms:
Zr  0.0000  0.0000  0.2243
Zr  0.0000  0.0000  0.7757
Tl  0.5000  0.5000  0.5000
Pt  0.5000  0.5000  0.0000


Material: Y2AlCu
Method: DFT, SCAN
State: single point on PBEsol structure

Summary:
The space group is Cm, No. 8. Its formation energy from the elements is -1.2 eV per formula unit. Its energy is -79.89 eV/f.u.

abc: 5.9530 5.9530 4.8377
angles: 113.94 113.94 33.31
Fractional coordinates of all 4 atoms:
Y  0.0000  0.0000  0.0000
Y  0.2144  0.2144  0.7140
Al  0.4232  0.4232  0.4234
Cu  0.7468  0.7468  0.2456


Material: FeAs2PSe
Method: DFT, SCAN
State: single point on PBEsol structure

Summary:
The space group is P4/mmm, No. 123. The calculation puts the uncorrected formation energy at 0.973 eV per atom. Its energy is -84.12 eV/f.u.

abc: 4.6878 4.6878 4.6421
angles: 90.00 90.00 90.00
Fractional coordinates of all 5 atoms:
Fe  0.0000  0.0000  0.0000
As  0.0000  0.5000  0.5000
As  0.5000  0.0000  0.5000
P  0.5000  0.5000  0.5000
Se  0.5000  0.5000  0.0000


Material: BaSr3P
Method: DFT, SCAN
State: single point on PBEsol structure

Summary:
The space group is Pm-3m, No. 221. Its formation energy from the elements is 5.7 eV per formula unit. For the energy above the most stable polymorph in this dataset, the calculation gives 1.646 eV/atom. Its energy is -111.06 eV/f.u.

abc: 5.8535 5.8535 5.8535
angles: 90.00 90.00 90.00
Fractional coordinates of all 5 atoms:
Ba  0.0000  0.0000  0.0000
Sr  0.0000  0.0000  0.5000
Sr  0.0000  0.5000  0.0000
Sr  0.5000  0.0000  0.0000
P  0.5000  0.5000  0.5000


Material: CdSb6S8I4
Method: DFT, SCAN
State: single point on PBEsol structure

Summary:
The space group is P-1, No. 2. The calculation puts the uncorrected formation energy at -0.332 eV per atom. Its energy is -484.28 eV/f.u.

abc: 7.2017 8.7948 8.8366
angles: 92.48 109.11 94.56
Fractional coordinates of all 19 atoms:
Cd  0.0000  0.0000  0.0000
Sb  0.2311  0.2915  0.7928
Sb  0.2436  0.9327  0.4455
Sb  0.2502  0.6375  0.1513
Sb  0.7498  0.3625  0.8487
Sb  0.7564  0.0673  0.5545
Sb  0.7689  0.7085  0.2072
S  0.0883  0.3138  0.0252
S  0.0920  0.0042  0.7210
S  0.0951  0.6445  0.3883
S  0.3404  0.9277  0.1897
S  0.6596  0.0723  0.8103
S  0.9049  0.3555  0.6117
S  0.9080  0.9958  0.2790
S  0.9117  0.6862  0.9748
I  0.3508  0.6556  0.8405
I  0.3560  0.2884  0.4682
I  0.6440  0.7116  0.5318
I  0.6492  0.3444  0.1595


Material: KIr3
Method: DFT, SCAN
State: single point on PBEsol structure

Summary:
The space group is Cmmm, No. 65. Its formation energy from the elements is 3.8 eV per formula unit. For the energy above the most stable polymorph in this dataset, the calculation gives 0.148 eV/atom. Its energy is -217.87 eV/f.u.

abc: 5.0621 5.0621 2.6507
angles: 90.00 90.00 111.30
Fractional coordinates of all 4 atoms:
K  0.0000  0.0000  0.0000
Ir  0.0000  0.5000  0.5000
Ir  0.5000  0.0000  0.5000
Ir  0.5000  0.5000  0.0000